# 1
La3HoTm3 after structural relaxation. Source: the Alexandria database, functional PBE-GGA.

Cell: 6.2081 6.2081 43.7075 Å, 90.00 90.00 120.00°
With the nearest neighbours (Å) after each atom.
Space group R-3 (No. 148, hexagonal axes)
Unique sites:
1 La 0.0007 0.3300 0.1290  3 Tm 3.54-3.57, 9 La 3.55-3.89
2 Ho 0.0000 0.0000 0.3333  6 Tm 3.44, 3 Ho 3.58
3 Tm 0.0000 0.3327 0.9371  2 Ho 3.44, 3 La 3.54-3.57, 6 Tm 3.58-3.59


# 2
LaHo5Tm3 after structural relaxation. Source: the Alexandria database, functional PBE-GGA.

Cell: 19.0876 6.0148 11.0900 Å, 90.00 112.82 90.00°
With the nearest neighbours (Å) after each atom.
Space group C2/c (No. 15)
Unique sites:
1 La 0.0000 0.1458 0.2500  2 Ho 2.91-3.11, 4 Tm 2.91-3.15
2 Ho 0.0000 0.3711 0.7500  2 La 2.91-3.11
3 Ho 0.1644 0.2562 0.6952  4 Tm 3.34-3.57, 5 Ho 3.45-3.67
4 Ho 0.1692 0.2610 0.0293  6 Ho 3.39-3.67, 4 Tm 3.49-3.66
5 Tm 0.0000 0.0000 0.0000  2 La 2.91
6 Tm 0.1769 0.2303 0.3643  1 La 3.15, 1 Tm 3.22, 3 Ho 3.34-3.51


For the records above, the corresponding density of states at the Fermi level values read 74.06 55.50 states/eV/cell.
For the records above, the corresponding calculated formation energy values read 0.188 0.339 eV/atom.